This record from the Alexandria database describes crystalline Pm3Cu2Hg4 at its relaxed geometry. The functional is PBE-GGA.

Unit cell a=4.7940 b=6.0218 c=8.4909 alpha=74.55 beta=73.60 gamma=66.54
Last column: nearest neighbours and their distance in Å.
Element x y z (fractional)
Cu 0.6022 0.0707 0.7250  3 Hg 2.70-2.71
Hg 0.2861 0.3639 0.0639  1 Cu 2.70, 2 Hg 2.92
Hg 0.9460 0.7302 0.3777  2 Cu 2.71, 1 Hg 2.94
Hg 0.7139 0.6361 0.9361  1 Cu 2.70, 2 Hg 2.92
Cu 0.3978 0.9293 0.2750  3 Hg 2.70-2.71
Pm 0.6685 0.3202 0.3428  4 Cu 3.18-3.34, 8 Hg 3.22-3.46, 2 Pm 3.50-3.56
Pm 0.3315 0.6798 0.6572  4 Cu 3.18-3.34, 8 Hg 3.22-3.46, 2 Pm 3.50-3.56
Hg 0.0540 0.2698 0.6223  2 Cu 2.71, 1 Hg 2.94
Pm 0.0000 0.0000 0.0000  8 Hg 3.18-3.46, 4 Cu 3.26

Output
Energy relative to the elements (meV per atom): -347
Symmetry: C2/m (12)

This record from the Alexandria database describes crystalline Tb3HoIr8 at its relaxed geometry. The functional is PBE-GGA.

Unit cell a=5.3666 b=5.3666 c=9.2867 alpha=73.21 beta=73.21 gamma=60.00
Last column: nearest neighbours and their distance in Å.
Element x y z (fractional)
Ir 0.9376 0.9376 0.6869  6 Ir 2.68-2.69
Ir 0.6875 0.6875 0.9375  6 Ir 2.68-2.69
Tb 0.3751 0.3751 0.8748  12 Ir 3.15, 4 Tb 3.28-3.29
Tb 0.5001 0.5001 0.4997  12 Ir 3.14-3.15, 1 Tb 3.28, 3 Ho 3.28
Ho 0.8750 0.8750 0.3751  12 Ir 3.14-3.15, 4 Tb 3.28
Ir 0.4379 0.9376 0.6869  6 Ir 2.68-2.69
Tb 0.9999 0.9999 0.0004  12 Ir 3.15, 1 Ho 3.28, 3 Tb 3.29
Ir 0.4374 0.9372 0.1881  6 Ir 2.68-2.69
Ir 0.9372 0.4374 0.1881  6 Ir 2.68-2.69
Ir 0.9376 0.4379 0.6869  6 Ir 2.68-2.69
Ir 0.4374 0.4374 0.1881  6 Ir 2.68-2.69
Ir 0.1875 0.1875 0.4374  6 Ir 2.68

Output
Energy relative to the elements (meV per atom): -807
Symmetry: R3m (160)

This record from the Alexandria database describes crystalline LaDyY3Ho at its relaxed geometry. The functional is PBE-GGA.

Unit cell a=5.0698 b=8.0446 c=10.1617 alpha=90.00 beta=90.00 gamma=108.37
Last column: nearest neighbours and their distance in Å.
Element x y z (fractional)
Y 0.6672 0.3344 0.0004  5 Y 3.56-3.59, 3 Ho 3.57-3.59, 2 La 3.59-3.61, 2 Dy 3.60
Dy 0.0000 0.0000 0.5000  4 La 3.59, 6 Y 3.60-3.62, 2 Ho 3.62
Ho 0.8315 0.6631 0.7500  8 Y 3.55-3.59, 2 La 3.60, 2 Dy 3.62
Y 0.3328 0.6656 0.9996  5 Y 3.56-3.59, 3 Ho 3.57-3.59, 2 La 3.59-3.61, 2 Dy 3.60
Dy 0.0000 0.0000 0.0000  4 La 3.59, 6 Y 3.60-3.62, 2 Ho 3.62
Y 0.1690 0.3380 0.7500  2 Ho 3.55, 6 Y 3.56-3.59, 2 Dy 3.62, 2 La 3.63
La 0.4991 0.9982 0.7500  4 Dy 3.59, 6 Y 3.59-3.63, 2 Ho 3.60
Y 0.6672 0.3344 0.4996  5 Y 3.56-3.59, 3 Ho 3.57-3.59, 2 La 3.59-3.61, 2 Dy 3.60
Ho 0.1685 0.3369 0.2500  8 Y 3.55-3.59, 2 La 3.60, 2 Dy 3.62
La 0.5009 0.0018 0.2500  4 Dy 3.59, 6 Y 3.59-3.63, 2 Ho 3.60
Y 0.3328 0.6656 0.5004  5 Y 3.56-3.59, 3 Ho 3.57-3.59, 2 La 3.59-3.61, 2 Dy 3.60
Y 0.8310 0.6620 0.2500  2 Ho 3.55, 6 Y 3.56-3.59, 2 Dy 3.62, 2 La 3.63

Output
Energy relative to the elements (meV per atom): 31
Symmetry: Cmcm (63)

This record from the Alexandria database describes crystalline AcMgS2O8 at its relaxed geometry. The functional is PBE-GGA.

Unit cell a=4.9004 b=4.9004 c=7.6205 alpha=71.24 beta=71.24 gamma=60.00
Last column: nearest neighbours and their distance in Å.
Element x y z (fractional)
O 0.4152 0.7358 0.8143  1 S 1.54
Ac 0.5000 0.5000 0.5000  12 O 2.81-2.86
O 0.5848 0.2642 0.1857  1 S 1.54
O 0.0347 0.4152 0.8143  1 S 1.54
O 0.8142 0.8142 0.5574  1 S 1.55
O 0.2642 0.9653 0.1857  1 S 1.54
O 0.7358 0.0347 0.8143  1 S 1.54
Mg 0.0000 0.0000 0.0000  6 O 2.12
S 0.2588 0.2588 0.2237  4 O 1.54-1.55
O 0.1858 0.1858 0.4426  1 S 1.55
O 0.9653 0.5848 0.1857  1 S 1.54
S 0.7412 0.7412 0.7763  4 O 1.54-1.55

Output
Formation energy without anion corrections (eV/atom): -1.8608
Symmetry: R-3 (148)

This record from the Alexandria database describes crystalline BaCrIrI2 at its relaxed geometry. The functional is PBE-GGA.

Unit cell a=5.5540 b=5.7041 c=5.5540 alpha=90.00 beta=90.00 gamma=90.00
Last column: nearest neighbours and their distance in Å.
Element x y z (fractional)
Ir 0.0000 0.0000 0.0000  4 I 2.78, 2 Ba 2.85
I 0.5000 0.0000 0.0000  2 Ir 2.78
Cr 0.5000 0.5000 0.5000  4 Ba 3.93, 8 I 3.98
I 0.0000 0.0000 0.5000  2 Ir 2.78
Ba 0.0000 0.5000 0.0000  2 Ir 2.85

Output
Formation energy without anion corrections (eV/atom): 0.4127
Symmetry: P4/mmm (123)

This record from the Alexandria database describes crystalline TlFe2Ir at its relaxed geometry. The functional is PBE-GGA.

Unit cell a=3.9194 b=3.9194 c=3.9985 alpha=90.00 beta=90.00 gamma=90.00
Last column: nearest neighbours and their distance in Å.
Element x y z (fractional)
Tl 0.0000 0.5000 0.5000  4 Ir 2.77, 8 Fe 2.80
Fe 0.5000 0.5000 0.0000  4 Fe 2.77, 4 Tl 2.80, 4 Ir 2.80
Ir 0.5000 0.0000 0.5000  4 Tl 2.77, 8 Fe 2.80
Fe 0.0000 0.0000 0.0000  4 Fe 2.77, 4 Tl 2.80, 4 Ir 2.80

Output
Energy relative to the elements (meV per atom): 380
Symmetry: P4/mmm (123)

This record from the Alexandria database describes crystalline DyGeB at its relaxed geometry. The functional is PBE-GGA.

Unit cell a=3.5997 b=5.5375 c=8.2494 alpha=42.29 beta=90.00 gamma=108.97
Last column: nearest neighbours and their distance in Å.
Element x y z (fractional)
Dy 0.0046 0.0091 0.2419  5 B 2.81-3.13, 6 Ge 2.84-3.04
Ge 0.6931 0.3862 0.3110  2 B 2.14
B 0.3708 0.7416 0.1240  1 B 1.69
Dy 0.9954 0.9909 0.7581  5 B 2.81-3.13, 6 Ge 2.84-3.04
B 0.6292 0.2584 0.8760  1 B 1.69
Ge 0.3069 0.6138 0.6890  2 B 2.14

Output
Energy relative to the elements (meV per atom): -503
Symmetry: C2/m (12)

This record from the Alexandria database describes crystalline Li2ZnCu4 at its relaxed geometry. The functional is PBE-GGA.

Unit cell a=8.9345 b=4.9446 c=5.0022 alpha=119.63 beta=89.99 gamma=90.00
Last column: nearest neighbours and their distance in Å.
Element x y z (fractional)
Li 0.5000 0.1528 0.3051  2 Cu 2.39, 1 Li 2.65
Zn 0.0000 0.0000 0.0000  4 Cu 2.55, 4 Li 2.80-2.81
Li 0.0000 0.6523 0.3051  2 Cu 2.39, 1 Li 2.65
Zn 0.5000 0.5000 0.0000  4 Cu 2.55, 4 Li 2.80-2.81
Cu 0.7500 0.7498 0.0000  6 Cu 2.47-2.50, 2 Zn 2.55
Li 0.5000 0.8472 0.6949  2 Cu 2.39, 1 Li 2.65
Cu 0.2500 0.2502 0.5000  2 Li 2.39, 6 Cu 2.47-2.50
Cu 0.7500 0.2498 0.5000  2 Li 2.39, 6 Cu 2.47-2.50
Cu 0.7500 0.2498 0.0000  6 Cu 2.47-2.50, 2 Zn 2.55
Cu 0.2500 0.7502 0.5000  2 Li 2.39, 6 Cu 2.47-2.50
Cu 0.7500 0.7498 0.5000  2 Li 2.39, 6 Cu 2.47-2.50
Cu 0.2500 0.7502 0.0000  6 Cu 2.47-2.50, 2 Zn 2.55
Li 0.0000 0.3477 0.6949  2 Cu 2.39, 1 Li 2.65
Cu 0.2500 0.2502 0.0000  6 Cu 2.47-2.50, 2 Zn 2.55

Output
Energy relative to the elements (meV per atom): -16
Symmetry: Fmmm (69)

| no. | spin magnetization (μB/cell) |
| --- | --- |
| 1 | 0.00 |
| 2 | 0.00 |
| 3 | 0.00 |
| 4 | 0.98 |
| 5 | 5.74 |
| 6 | 5.95 |
| 7 | 0.00 |
| 8 | 0.00 |